Record 1
# Tl2Sn2Te, optimized geometry, DFT PBE
data_Tl2Sn2Te
_chemical_formula_sum 'Tl4 Sn4 Te2'
_cell_length_a 4.213
_cell_length_b 4.213
_cell_length_c 18.386
_cell_angle_alpha 90.00
_cell_angle_beta 90.00
_cell_angle_gamma 90.00
_symmetry_space_group_name_H-M 'I 4/m m m'
_symmetry_Int_Tables_number 139
_symmetry_space_group_name_Hall '-I 4 2'
loop_
_atom_site_label
_atom_site_type_symbol
_atom_site_fract_x
_atom_site_fract_y
_atom_site_fract_z
Tl1 Tl 0.000 0.000 0.092
Sn1 Sn 0.000 0.500 0.250
Te1 Te 0.000 0.000 0.500
# Energy relative to the elements, uncorrected, eV per atom: 0.0297
# Electronic total energy, eV per formula unit: -15.7
# Distance to the lowest polymorph of the same formula, meV per atom: 22
# Theoretical density, g/cm3: 7.873

***

Record 2
# TlSn2Te2, optimized geometry, DFT PBE
data_TlSn2Te2
_chemical_formula_sum 'Tl2 Sn4 Te4'
_cell_length_a 8.577
_cell_length_b 8.577
_cell_length_c 4.260
_cell_angle_alpha 90.00
_cell_angle_beta 90.00
_cell_angle_gamma 90.00
_symmetry_space_group_name_H-M 'P 4/m b m'
_symmetry_Int_Tables_number 127
_symmetry_space_group_name_Hall '-P 4 2ab'
loop_
_atom_site_label
_atom_site_type_symbol
_atom_site_fract_x
_atom_site_fract_y
_atom_site_fract_z
Tl1 Tl 0.000 0.000 0.000
Sn1 Sn 0.138 0.362 0.000
Te1 Te 0.173 0.673 0.500
# Energy relative to the elements, uncorrected, eV per atom: -0.1143
# Electronic total energy, eV per formula unit: -17.2
# Distance to the lowest polymorph of the same formula, meV per atom: 28
# Theoretical density, g/cm3: 7.386

***

Record 3
# TlSn3Te, optimized geometry, DFT PBE
data_TlSn3Te
_chemical_formula_sum 'Tl1 Sn3 Te1'
_cell_length_a 5.910
_cell_length_b 5.910
_cell_length_c 5.910
_cell_angle_alpha 90.00
_cell_angle_beta 90.00
_cell_angle_gamma 90.00
_symmetry_space_group_name_H-M 'P m -3 m'
_symmetry_Int_Tables_number 221
_symmetry_space_group_name_Hall '-P 4 2 3'
loop_
_atom_site_label
_atom_site_type_symbol
_atom_site_fract_x
_atom_site_fract_y
_atom_site_fract_z
Tl1 Tl 0.000 0.000 0.000
Sn1 Sn 0.000 0.500 0.500
Te1 Te 0.500 0.500 0.500
# Energy relative to the elements, uncorrected, eV per atom: 0.5117
# Electronic total energy, eV per formula unit: -15.0
# Distance to the lowest polymorph of the same formula, meV per atom: 0
# Theoretical density, g/cm3: 5.534

***

Record 4
# TlSnTe, optimized geometry, DFT PBE
data_TlSnTe
_chemical_formula_sum 'Tl1 Sn1 Te1'
_cell_length_a 5.3131
_cell_length_b 5.3131
_cell_length_c 4.0726
_cell_angle_alpha 90.00
_cell_angle_beta 90.00
_cell_angle_gamma 120.00
_symmetry_space_group_name_H-M 'P -6 m 2'
_symmetry_Int_Tables_number 187
_symmetry_space_group_name_Hall 'P -6 2'
loop_
_atom_site_label
_atom_site_type_symbol
_atom_site_fract_x
_atom_site_fract_y
_atom_site_fract_z
Tl1 Tl 0.0000 0.0000 0.0000
Sn1 Sn 0.3333 0.6667 0.5000
Te1 Te 0.6667 0.3333 0.5000
# Energy relative to the elements, uncorrected, eV per atom: -0.0409
# Electronic total energy, eV per formula unit: -9.6
# Distance to the lowest polymorph of the same formula, meV per atom: 86
# Theoretical density, g/cm3: 7.517

***

Record 5
# TlSn2Te2, optimized geometry, DFT PBE
data_TlSn2Te2
_chemical_formula_sum 'Tl2 Sn4 Te4'
_cell_length_a 8.821
_cell_length_b 8.821
_cell_length_c 4.143
_cell_angle_alpha 90.00
_cell_angle_beta 90.00
_cell_angle_gamma 90.00
_symmetry_space_group_name_H-M 'P 4/m b m'
_symmetry_Int_Tables_number 127
_symmetry_space_group_name_Hall '-P 4 2ab'
loop_
_atom_site_label
_atom_site_type_symbol
_atom_site_fract_x
_atom_site_fract_y
_atom_site_fract_z
Tl1 Tl 0.000 0.000 0.000
Sn1 Sn 0.140 0.360 0.500
Te1 Te 0.154 0.654 0.000
# Energy relative to the elements, uncorrected, eV per atom: -0.1032
# Electronic total energy, eV per formula unit: -17.2
# Distance to the lowest polymorph of the same formula, meV per atom: 39
# Theoretical density, g/cm3: 7.181

***

Record 6
# TlSn2Te2, optimized geometry, DFT PBE
data_TlSn2Te2
_chemical_formula_sum 'Tl2 Sn4 Te4'
_cell_length_a 5.910
_cell_length_b 5.910
_cell_length_c 10.217
_cell_angle_alpha 90.00
_cell_angle_beta 90.00
_cell_angle_gamma 90.00
_symmetry_space_group_name_H-M 'I 4/m m m'
_symmetry_Int_Tables_number 139
_symmetry_space_group_name_Hall '-I 4 2'
loop_
_atom_site_label
_atom_site_type_symbol
_atom_site_fract_x
_atom_site_fract_y
_atom_site_fract_z
Tl1 Tl 0.000 0.000 0.000
Sn1 Sn 0.000 0.000 0.348
Te1 Te 0.000 0.500 0.250
# Energy relative to the elements, uncorrected, eV per atom: -0.1423
# Electronic total energy, eV per formula unit: -17.4
# Distance to the lowest polymorph of the same formula, meV per atom: 0
# Theoretical density, g/cm3: 6.488

***

Record 7
# Tl2Sn3Te6, optimized geometry, DFT PBE
data_Tl2Sn3Te6
_chemical_formula_sum 'Tl4 Sn6 Te12'
_cell_length_a 7.371
_cell_length_b 13.185
_cell_length_c 8.318
_cell_angle_alpha 90.00
_cell_angle_beta 108.89
_cell_angle_gamma 90.00
_symmetry_space_group_name_H-M 'C 1 2/m 1'
_symmetry_Int_Tables_number 12
loop_
_symmetry_equiv_pos_as_xyz
'x,y,z'
'-x,-y,-z'
'-x,y,-z'
'x,-y,z'
'x+1/2,y+1/2,z'
'-x+1/2,-y+1/2,-z'
'-x+1/2,y+1/2,-z'
'x+1/2,-y+1/2,z'
loop_
_atom_site_label
_atom_site_type_symbol
_atom_site_fract_x
_atom_site_fract_y
_atom_site_fract_z
Tl1 Tl 0.000 0.164 0.000
Sn1 Sn 0.000 0.000 0.500
Sn2 Sn 0.000 0.327 0.500
Te1 Te 0.238 0.500 0.722
Te2 Te 0.249 0.338 0.272
# Energy relative to the elements, uncorrected, eV per atom: -0.2044
# Electronic total energy, eV per formula unit: -37.8
# Theoretical density, g/cm3: 6.646

***

Record 8
# TlSnTe2, optimized geometry, DFT PBE
data_TlSnTe2
_chemical_formula_sum 'Tl4 Sn4 Te8'
_cell_length_a 8.282
_cell_length_b 4.453
_cell_length_c 15.628
_cell_angle_alpha 90.00
_cell_angle_beta 90.00
_cell_angle_gamma 90.00
_symmetry_space_group_name_H-M 'P n m a'
_symmetry_Int_Tables_number 62
loop_
_symmetry_equiv_pos_as_xyz
'x,y,z'
'-x,-y,-z'
'-x+1/2,-y,z+1/2'
'x+1/2,y,-z+1/2'
'x+1/2,-y+1/2,-z+1/2'
'-x+1/2,y+1/2,z+1/2'
'-x,y+1/2,-z'
'x,-y+1/2,z'
loop_
_atom_site_label
_atom_site_type_symbol
_atom_site_fract_x
_atom_site_fract_y
_atom_site_fract_z
Tl1 Tl 0.089 0.250 0.148
Sn1 Sn 0.083 0.750 0.389
Te1 Te 0.156 0.250 0.755
Te2 Te 0.223 0.250 0.490
# Energy relative to the elements, uncorrected, eV per atom: -0.1998
# Electronic total energy, eV per formula unit: -13.5
# Theoretical density, g/cm3: 6.664